Material: CsCaF3
Method: DFT, PBE-GGA
State: relaxed

Cell lengths 4.5752, 4.5752, 9.8573 Å; angles 90.00, 90.00, 120.00 degrees
Last column: nearest neighbours and their distance in Å.
Positions (direct):
Cs1 0.3333 0.6667 0.7500  5 F 2.64-2.95
Cs2 0.6667 0.3333 0.2500  5 F 2.64-2.95
Ca1 0.0000 0.0000 0.0000  8 F 2.46-2.69
Ca2 0.0000 0.0000 0.5000  8 F 2.46-2.69
F1 0.0000 0.0000 0.2500  2 Ca 2.46, 3 Cs 2.64
F2 0.0000 0.0000 0.7500  2 Ca 2.46, 3 Cs 2.64
F3 0.3333 0.6667 0.0494  3 Ca 2.69, 3 F 2.82, 1 Cs 2.95
F4 0.3333 0.6667 0.4506  3 Ca 2.69, 3 F 2.82, 1 Cs 2.95
F5 0.6667 0.3333 0.5494  3 Ca 2.69, 3 F 2.82, 1 Cs 2.95
F6 0.6667 0.3333 0.9506  3 Ca 2.69, 3 F 2.82, 1 Cs 2.95

Size of the total moment: 0.0 μB/f.u.
Mass density: 4.27 g cm⁻³
N(E_F): 0.000 states/eV per atom
Formation energy from raw total energies: -3111 meV/atom
Space-group type: P6_3/mmc (194)